Record 1
Entry from Alexandria via LeMat-Bulk: crystalline Li7Ga4Sn at its relaxed geometry (PBE).

Crystal system ... monoclinic
Formation energy from the elements ... -1.98 eV/f.u.
Calculated total energy ... -31.49 eV/f.u.

extended XYZ file:
```
12
Lattice="4.902 0.000 0.000 2.451 6.918 0.802 2.451 0.981 6.498" Properties=species:S:1:pos:R:3 pbc="T T T"
Ga 2.451 2.476 0.298
Ga 4.902 5.206 3.027
Li 2.451 1.315 3.108
Li 2.451 4.226 2.208
Li 4.902 5.684 5.526
Ga 4.902 2.693 4.273
Li 4.902 2.215 1.774
Sn 0.000 0.000 0.000
Li 2.451 0.000 0.000
Ga 7.352 5.423 7.002
Li 7.352 3.673 5.092
Li 7.352 6.584 4.193
```

---

Record 2
Entry from Alexandria via LeMat-Bulk: crystalline PmThP2 at its relaxed geometry (PBE).

ΔE to the lowest computed polymorph ... 0.0 kJ per mole of atoms
Crystal system ... trigonal
Formation energy from the elements ... -6.30 eV/f.u.
Calculated total energy ... -29.29 eV/f.u.

extended XYZ file:
```
4
Lattice="4.142 0.013 0.013 2.060 3.593 0.013 2.042 1.188 6.750" Properties=species:S:1:pos:R:3 pbc="T T T"
Th 0.000 0.000 0.000
P 2.061 1.198 1.679
Pm 4.122 2.397 3.388
P 6.183 3.596 5.096
```

---

Record 3
Entry from Alexandria via LeMat-Bulk: crystalline SrRe2PdO8 at its relaxed geometry (PBE).

Crystal system ... monoclinic
Calculated total energy ... -91.46 eV/f.u.

extended XYZ file:
```
12
Lattice="6.077 -0.291 0.338 2.545 5.526 0.338 0.921 0.559 7.594" Properties=species:S:1:pos:R:3 pbc="T T T"
O 6.988 4.243 3.990
O 5.976 1.935 2.604
O 2.555 1.551 4.280
O 2.612 1.586 7.168
Sr 0.461 0.280 3.797
O 4.474 4.409 2.604
O 6.931 4.208 1.102
O 3.567 3.859 5.666
Pd 0.000 0.000 0.000
O 5.069 1.385 5.666
Re 3.453 2.097 5.700
Re 6.090 3.697 2.569
```

---

Record 4
Entry from Alexandria via LeMat-Bulk: crystalline KIrAu2 at its relaxed geometry (PBE).

ΔE to the lowest computed polymorph ... 6.2 kJ per mole of atoms
Crystal system ... orthorhombic
Formation energy from the elements ... 1.42 eV/f.u.
Calculated total energy ... -15.10 eV/f.u.

extended XYZ file:
```
4
Lattice="7.846 -0.037 -0.110 -3.411 4.025 0.084 1.023 0.817 2.454" Properties=species:S:1:pos:R:3 pbc="T T T"
Au 0.000 0.000 0.000
Ir -1.194 2.421 1.269
Au 4.435 0.390 1.172
K 2.217 1.994 -0.013
```

---

Record 5
Entry from Alexandria via LeMat-Bulk: crystalline MgZnTc4 at its relaxed geometry (PBE).

ΔE to the lowest computed polymorph ... 31.9 kJ per mole of atoms
Crystal system ... cubic
Formation energy from the elements ... 1.82 eV/f.u.
Calculated total energy ... -42.52 eV/f.u.

extended XYZ file:
```
6
Lattice="0.000 3.648 3.648 3.648 0.000 3.648 3.648 3.648 0.000" Properties=species:S:1:pos:R:3 pbc="T T T"
Tc 4.558 2.738 4.558
Tc 4.558 4.558 2.738
Tc 2.738 2.738 2.738
Tc 2.738 4.558 4.558
Zn 5.472 5.472 5.472
Mg 0.000 0.000 0.000
```

---

Record 6
Entry from Alexandria via LeMat-Bulk: crystalline Pr3Cd2In3 at its relaxed geometry (PBE).

ΔE to the lowest computed polymorph ... 0.0 kJ per mole of atoms
Crystal system ... orthorhombic
Formation energy from the elements ... -3.46 eV/f.u.
Calculated total energy ... -27.84 eV/f.u.

extended XYZ file:
```
16
Lattice="-0.126 -4.423 2.046 2.832 -0.003 -5.640 14.074 2.868 7.065" Properties=species:S:1:pos:R:3 pbc="T T T"
In 5.517 -0.882 -1.567
Cd 2.582 -0.652 -1.252
Cd 14.198 -0.906 4.722
Pr 9.067 1.374 3.529
Pr 7.713 -2.933 -0.058
In 11.263 -0.677 5.038
In 1.149 -2.575 0.312
In 9.802 -0.171 0.233
Pr 3.793 -3.732 -2.025
Pr 4.281 -2.155 1.413
Pr 12.499 0.596 2.058
Cd 9.976 -1.766 2.604
In 15.631 1.017 3.159
In 6.979 -1.387 3.238
Cd 6.804 0.208 0.867
Pr 12.987 2.173 5.496
```

---

Record 7
Entry from Alexandria via LeMat-Bulk: crystalline KCaY2 at its relaxed geometry (PBE).

ΔE to the lowest computed polymorph ... 49.6 kJ per mole of atoms
Crystal system ... tetragonal
Formation energy from the elements ... 2.78 eV/f.u.
Calculated total energy ... -13.24 eV/f.u.

extended XYZ file:
```
8
Lattice="9.523 0.000 0.000 0.000 9.523 0.000 4.762 4.762 3.377" Properties=species:S:1:pos:R:3 pbc="T T T"
Ca 0.000 0.000 0.000
Ca 9.523 4.762 1.689
Y 11.904 11.849 2.533
Y 7.142 7.197 2.533
Y 2.435 7.142 0.844
K 4.762 4.762 0.000
K 4.762 9.523 1.689
Y 7.088 2.381 0.844
```

---

Record 8
Entry from Alexandria via LeMat-Bulk: crystalline ThCuAgPd at its relaxed geometry (PBE).

Crystal system ... cubic
Formation energy from the elements ... -1.18 eV/f.u.
Calculated total energy ... -20.74 eV/f.u.

extended XYZ file:
```
4
Lattice="-3.023 2.557 2.802 0.654 0.108 4.804 1.539 4.067 2.147" Properties=species:S:1:pos:R:3 pbc="T T T"
Pd -0.415 3.366 4.876
Ag -0.207 1.683 2.438
Th -0.622 5.049 7.315
Cu 0.000 0.000 0.000
```

---

Record 9
Entry from Alexandria via LeMat-Bulk: crystalline Eu2MgIr at its relaxed geometry (PBE).

ΔE to the lowest computed polymorph ... 4.7 kJ per mole of atoms
Crystal system ... cubic
Formation energy from the elements ... -0.66 eV/f.u.
Calculated total energy ... -31.66 eV/f.u.

extended XYZ file:
```
4
Lattice="5.180 0.000 0.000 2.590 4.486 0.000 2.590 1.495 4.230" Properties=species:S:1:pos:R:3 pbc="T T T"
Mg 0.000 0.000 0.000
Eu 2.590 1.495 1.057
Ir 5.180 2.991 2.115
Eu 7.770 4.486 3.172
```

---

Record 10
Entry from Alexandria via LeMat-Bulk: crystalline BRhPb2Cl at its relaxed geometry (PBE).

Crystal system ... tetragonal
Calculated total energy ... -22.13 eV/f.u.

extended XYZ file:
```
5
Lattice="5.404 0.000 0.000 0.000 3.956 0.000 0.000 0.000 5.404" Properties=species:S:1:pos:R:3 pbc="T T T"
Cl 2.702 1.978 2.702
Rh 0.000 1.978 0.000
B 0.000 0.000 0.000
Pb 0.000 0.000 2.702
Pb 2.702 0.000 0.000
```

---

Record 11
Entry from Alexandria via LeMat-Bulk: crystalline Cs2GaAu2 at its relaxed geometry (PBE).

ΔE to the lowest computed polymorph ... 1.7 kJ per mole of atoms
Crystal system ... orthorhombic
Formation energy from the elements ... -1.28 eV/f.u.
Calculated total energy ... -12.56 eV/f.u.

extended XYZ file:
```
10
Lattice="7.282 0.000 0.000 0.000 7.637 0.000 -3.641 -3.818 7.363" Properties=species:S:1:pos:R:3 pbc="T T T"
Au 3.641 2.490 1.401
Au 0.000 1.329 5.962
Au 0.000 5.147 1.401
Au 3.641 -1.329 5.962
Ga 1.821 3.818 0.000
Cs 0.000 -2.496 5.204
Cs 3.641 6.315 2.159
Cs 3.641 2.496 5.204
Cs 0.000 1.322 2.159
Ga 5.462 3.818 0.000
```

---

Record 12
Entry from Alexandria via LeMat-Bulk: crystalline Mg4Si3 at its relaxed geometry (PBE).

ΔE to the lowest computed polymorph ... 3.5 kJ per mole of atoms
Crystal system ... triclinic
Calculated total energy ... -22.62 eV/f.u.

extended XYZ file:
```
14
Lattice="-0.694 -5.208 -4.655 2.482 -3.781 4.646 -7.103 4.062 1.676" Properties=species:S:1:pos:R:3 pbc="T T T"
Mg -2.010 -1.528 2.866
Si -0.348 -5.715 -0.990
Mg -5.957 1.887 3.380
Si 0.663 -4.522 3.043
Si -3.169 1.005 2.486
Mg -0.705 -3.155 -1.428
Si -5.529 -0.621 -0.416
Si -3.880 -3.481 2.201
Mg -3.805 -0.082 4.988
Mg -3.439 -2.290 -0.186
Mg -5.245 -1.050 2.347
Mg 0.337 -7.973 0.393
Mg -1.476 -5.186 1.483
Si -4.966 1.388 0.896
```

---

Record 13
Entry from Alexandria via LeMat-Bulk: crystalline NaSbCI2 at its relaxed geometry (PBE).

ΔE to the lowest computed polymorph ... 0.0 kJ per mole of atoms
Crystal system ... tetragonal
Calculated total energy ... -14.59 eV/f.u.

extended XYZ file:
```
5
Lattice="5.771 0.000 0.000 0.000 5.771 0.000 0.000 0.000 4.412" Properties=species:S:1:pos:R:3 pbc="T T T"
Sb 0.000 0.000 2.206
C 0.000 0.000 0.000
I 2.885 0.000 0.000
Na 2.885 2.885 2.206
I 0.000 2.885 0.000
```

---

Record 14
Entry from Alexandria via LeMat-Bulk: crystalline Cs3Rb2SrF6 at its relaxed geometry (PBE).

Crystal system ... monoclinic
Calculated total energy ... -49.36 eV/f.u.

extended XYZ file:
```
12
Lattice="-2.961 6.018 3.151 -3.799 -4.250 -4.734 -0.488 -4.434 5.825" Properties=species:S:1:pos:R:3 pbc="T T T"
Cs -3.624 -1.333 2.121
F -1.900 -3.107 4.248
F -1.323 0.914 1.863
F -5.349 0.441 -0.005
F -1.552 -1.888 -0.289
Rb -3.522 -0.851 -2.124
Cs -3.912 -4.857 -0.585
F -5.697 -0.779 4.532
Rb -3.238 2.619 0.541
Cs -3.336 2.190 4.828
F -5.925 -3.581 2.380
Sr 0.000 0.000 0.000
```

---

Record 15
Entry from Alexandria via LeMat-Bulk: crystalline ThPaZnSn at its relaxed geometry (PBE).

Crystal system ... cubic
Formation energy from the elements ... -0.24 eV/f.u.
Calculated total energy ... -22.44 eV/f.u.

extended XYZ file:
```
4
Lattice="-2.602 -4.413 1.266 1.929 -4.701 -1.425 1.962 -3.264 3.653" Properties=species:S:1:pos:R:3 pbc="T T T"
Pa 0.000 0.000 0.000
Th 0.645 -6.189 1.747
Sn 0.322 -3.094 0.874
Zn 0.967 -9.283 2.621
```

---

Record 16
Entry from Alexandria via LeMat-Bulk: crystalline LaPHIr at its relaxed geometry (PBE).

Crystal system ... hexagonal
Calculated total energy ... -25.93 eV/f.u.

extended XYZ file:
```
8
Lattice="-3.211 0.838 2.175 1.575 -3.640 0.110 5.943 2.803 7.694" Properties=species:S:1:pos:R:3 pbc="T T T"
La 1.414 -1.470 2.655
La 2.790 1.424 7.190
P 0.944 0.553 4.800
P 5.511 0.462 7.959
Ir 2.883 1.360 3.732
Ir 5.855 2.762 7.579
H 3.893 1.837 5.040
H 0.922 0.435 1.193
```

---

Record 17
Entry from Alexandria via LeMat-Bulk: crystalline Co2Ge4S at its relaxed geometry (PBE).

Crystal system ... tetragonal
Calculated total energy ... -32.82 eV/f.u.

extended XYZ file:
```
7
Lattice="-0.555 -4.622 -0.890 2.856 0.382 -3.763 5.763 -3.324 1.052" Properties=species:S:1:pos:R:3 pbc="T T T"
Ge 1.428 0.191 -1.882
Co 2.025 -2.348 -1.686
Ge 4.298 -4.762 -3.190
Co 6.039 -5.216 -1.915
Ge 3.766 -2.803 -0.411
Ge -0.277 -2.311 -0.445
S 0.000 0.000 0.000
```